1.
VASP calculation (GGA-PBE) on a geometry-optimized Na2ZnH structure.

a = 3.2700 Å, b = 3.2700 Å, c = 24.0956 Å
α = 90.00°, β = 90.00°, γ = 120.00°
Space group R-3m (No. 166, hexagonal axes)
Unique sites:
Na: 0.0000 0.0000 0.2267 x6
Zn: 0.0000 0.0000 0.0000 x3
H: 0.0000 0.0000 0.5000 x3

Energy ... -1.805 eV per atom

2.
VASP calculation (GGA-PBE) on a geometry-optimized La2CeDy3Te6 structure.

a = 19.491 Å, b = 4.412 Å, c = 8.995 Å
α = 90.00°, β = 104.30°, γ = 90.00°
Space group C2/m (No. 12)
Unique sites:
La: 0.165 0.000 0.332 x4
Ce: 0.000 0.500 0.000 x2
Dy: 0.000 0.500 0.500 x2
Dy: 0.168 0.000 0.835 x4
Te: 0.005 0.000 0.745 x4
Te: 0.163 0.500 0.593 x4
Te: 0.169 0.500 0.073 x4

Energy ... -5.444 eV per atom
Formation energy without anion corrections ... -1.4065 eV per atom

3.
VASP calculation (GGA-PBE) on a geometry-optimized AlCdHSe2 structure.

a = 4.891 Å, b = 4.891 Å, c = 5.538 Å
α = 90.00°, β = 90.00°, γ = 90.00°
Space group P4/mmm (No. 123)
Unique sites:
Al: 0.000 0.000 0.000 x1
Cd: 0.000 0.000 0.500 x1
H: 0.500 0.500 0.500 x1
Se: 0.000 0.500 0.000 x2

Energy ... -2.514 eV per atom

4.
VASP calculation (GGA-PBE) on a geometry-optimized TbErCoAg structure.

a = 3.362 Å, b = 3.362 Å, c = 7.515 Å
α = 90.00°, β = 90.00°, γ = 90.00°
Space group P4mm (No. 99)
Unique sites:
Tb: 0.000 0.000 0.000 x1
Er: 0.000 0.000 0.562 x1
Co: 0.500 0.500 0.777 x1
Ag: 0.500 0.500 0.288 x1

Energy ... -5.038 eV per atom
Energy of formation ... -250.2 meV/atom

5.
VASP calculation (GGA-PBE) on a geometry-optimized CaLa2Nb structure.

a = 8.724 Å, b = 8.724 Å, c = 6.926 Å
α = 90.00°, β = 90.00°, γ = 90.00°
Space group I-42d (No. 122)
Unique sites:
Ca: 0.000 0.000 0.000 x4
La: 0.165 0.250 0.625 x8
Nb: 0.000 0.000 0.500 x4

Energy ... -4.856 eV per atom
Energy of formation ... 625.6 meV/atom

6.
VASP calculation (GGA-PBE) on a geometry-optimized Sr3InP2Pd9 structure.

a = 6.2628 Å, b = 6.2628 Å, c = 9.5999 Å
α = 90.00°, β = 90.00°, γ = 120.00°
Space group P-3m1 (No. 164)
Unique sites:
Sr: 0.0000 0.0000 0.0000 x1
Sr: 0.3333 0.6667 0.6668 x2
In: 0.0000 0.0000 0.5000 x1
P: 0.3333 0.6667 0.1572 x2
Pd: 0.0000 0.5000 0.0000 x3
Pd: 0.1518 0.3035 0.2773 x6

Energy ... -4.989 eV per atom
Energy of formation ... -633.5 meV/atom

7.
VASP calculation (GGA-PBE) on a geometry-optimized SiSnCl2 structure.

a = 7.139 Å, b = 7.139 Å, c = 7.139 Å
α = 90.00°, β = 90.00°, γ = 90.00°
Space group Fm-3m (No. 225)
Unique sites:
Si: 0.000 0.000 0.000 x4
Sn: 0.000 0.000 0.500 x4
Cl: 0.250 0.250 0.250 x8

Energy ... -3.108 eV per atom
Formation energy without anion corrections ... 0.1722 eV per atom

8.
VASP calculation (GGA-PBE) on a geometry-optimized BeTcCl2 structure.

a = 5.179 Å, b = 5.179 Å, c = 9.698 Å
α = 90.00°, β = 90.00°, γ = 90.00°
Space group I-42d (No. 122)
Unique sites:
Be: 0.000 0.000 0.000 x4
Tc: 0.000 0.000 0.500 x4
Cl: 0.193 0.250 0.125 x8

Energy ... -4.016 eV per atom
Formation energy without anion corrections ... 0.4303 eV per atom

9.
VASP calculation (GGA-PBE) on a geometry-optimized LaNi3B structure.

a = 4.980 Å, b = 6.565 Å, c = 8.720 Å
α = 90.00°, β = 90.00°, γ = 90.00°
Space group Immm (No. 71)
Unique sites:
La: 0.000 0.000 0.000 x2
La: 0.000 0.500 0.000 x2
Ni: 0.000 0.208 0.500 x4
Ni: 0.250 0.250 0.250 x8
B: 0.000 0.000 0.322 x4

Energy ... -6.076 eV per atom
Energy of formation ... -286.2 meV/atom

10.
VASP calculation (GGA-PBE) on a geometry-optimized Li4Tb9Hg11 structure.

a = 15.154 Å, b = 21.635 Å, c = 3.498 Å
α = 90.00°, β = 90.00°, γ = 90.00°
Space group Cmmm (No. 65)
Unique sites:
Li: 0.149 0.098 0.000 x8
Tb: 0.000 0.000 0.000 x2
Tb: 0.113 0.244 0.000 x8
Tb: 0.137 0.421 0.000 x8
Hg: 0.000 0.134 0.500 x4
Hg: 0.000 0.340 0.500 x4
Hg: 0.000 0.500 0.500 x2
Hg: 0.201 0.000 0.500 x4
Hg: 0.244 0.327 0.500 x8

Energy ... -2.566 eV per atom
Energy of formation ... -372.7 meV/atom

11.
VASP calculation (GGA-PBE) on a geometry-optimized BaTlRhPb2 structure.

a = 5.418 Å, b = 5.418 Å, c = 5.384 Å
α = 90.00°, β = 90.00°, γ = 90.00°
Space group P4/mmm (No. 123)
Unique sites:
Ba: 0.000 0.000 0.000 x1
Tl: 0.500 0.500 0.000 x1
Rh: 0.500 0.500 0.500 x1
Pb: 0.000 0.500 0.500 x2

Energy ... -3.959 eV per atom
Energy of formation ... -147.4 meV/atom

12.
VASP calculation (GGA-PBE) on a geometry-optimized Tl3CoSi structure.

a = 5.037 Å, b = 5.037 Å, c = 5.037 Å
α = 90.00°, β = 90.00°, γ = 90.00°
Space group Pm-3m (No. 221)
Unique sites:
Tl: 0.000 0.000 0.500 x3
Co: 0.000 0.000 0.000 x1
Si: 0.500 0.500 0.500 x1

Energy ... -3.284 eV per atom
Formation energy without anion corrections ... 0.6417 eV per atom

13.
VASP calculation (GGA-PBE) on a geometry-optimized AlTeOsI2 structure.

a = 5.696 Å, b = 5.696 Å, c = 4.989 Å
α = 90.00°, β = 90.00°, γ = 90.00°
Space group P4/mmm (No. 123)
Unique sites:
Al: 0.000 0.000 0.000 x1
Te: 0.500 0.500 0.000 x1
Os: 0.500 0.500 0.500 x1
I: 0.000 0.500 0.500 x2

Energy ... -3.602 eV per atom
Formation energy without anion corrections ... 0.6411 eV per atom

14.
VASP calculation (GGA-PBE) on a geometry-optimized ErPuCuSn structure.

a = 7.286 Å, b = 7.286 Å, c = 7.286 Å
α = 90.00°, β = 90.00°, γ = 90.00°
Space group F-43m (No. 216)
Unique sites:
Er: 0.000 0.000 0.000 x4
Pu: 0.000 0.000 0.500 x4
Cu: 0.250 0.250 0.250 x4
Sn: 0.250 0.250 0.750 x4

Energy ... -6.994 eV per atom
Energy of formation ... -245.2 meV/atom

15.
VASP calculation (GGA-PBE) on a geometry-optimized Ce2DyTc2 structure.

a = 5.387 Å, b = 5.079 Å, c = 8.689 Å
α = 90.00°, β = 93.10°, γ = 90.00°
Space group P2_1/m (No. 11)
Unique sites:
Ce: 0.103 0.250 0.121 x2
Ce: 0.154 0.750 0.539 x2
Dy: 0.445 0.250 0.767 x2
Tc: 0.322 0.750 0.913 x2
Tc: 0.400 0.250 0.414 x2

Energy ... -7.523 eV per atom
Energy of formation ... -83.0 meV/atom

16.
VASP calculation (GGA-PBE) on a geometry-optimized KRuPt2 structure.

a = 9.188 Å, b = 2.755 Å, c = 6.551 Å
α = 90.00°, β = 96.52°, γ = 90.00°
Space group Cm (No. 8)
Unique sites:
K: 0.000 0.000 0.000 x2
Ru: 0.266 0.500 0.361 x2
Pt: 0.002 0.500 0.476 x2
Pt: 0.236 0.000 0.694 x2

Energy ... -5.230 eV per atom
Energy of formation ... 383.9 meV/atom

17.
VASP calculation (GGA-PBE) on a geometry-optimized AlGaO structure.

a = 2.9153 Å, b = 2.9153 Å, c = 7.3437 Å
α = 90.00°, β = 90.00°, γ = 120.00°
Space group P3m1 (No. 156)
Unique sites:
Al: 0.0000 0.0000 0.0000 x1
Ga: 0.3333 0.6667 0.6727 x1
O: 0.6667 0.3333 0.0950 x1

Energy ... -5.296 eV per atom
Formation energy without anion corrections ... -1.3865 eV per atom

18.
VASP calculation (GGA-PBE) on a geometry-optimized ThNp2P3 structure.

a = 4.037 Å, b = 5.715 Å, c = 12.046 Å
α = 90.00°, β = 90.00°, γ = 90.00°
Space group Immm (No. 71)
Unique sites:
Th: 0.000 0.000 0.000 x2
Np: 0.000 0.000 0.336 x4
P: 0.000 0.500 0.000 x2
P: 0.000 0.500 0.325 x4

Energy ... -9.348 eV per atom
Energy of formation ... -1092.4 meV/atom

19.
VASP calculation (GGA-PBE) on a geometry-optimized LaNdAlPd structure.

a = 7.467 Å, b = 7.467 Å, c = 7.467 Å
α = 90.00°, β = 90.00°, γ = 90.00°
Space group F-43m (No. 216)
Unique sites:
La: 0.000 0.000 0.000 x4
Nd: 0.000 0.000 0.500 x4
Al: 0.250 0.250 0.750 x4
Pd: 0.250 0.250 0.250 x4

Energy ... -5.119 eV per atom
Energy of formation ... -461.4 meV/atom

20.
VASP calculation (GGA-PBE) on a geometry-optimized TaTlPb structure.

a = 4.029 Å, b = 4.711 Å, c = 15.843 Å
α = 90.00°, β = 90.00°, γ = 90.00°
Space group Fmm2 (No. 42)
Unique sites:
Ta: 0.000 0.000 0.000 x4
Tl: 0.000 0.000 0.352 x4
Pb: 0.000 0.000 0.648 x4

Energy ... -5.414 eV per atom
Energy of formation ... 561.7 meV/atom